No. 1
{
  "formula": "CsSn4Br12",
  "functional": "PBE",
  "state": "optimized geometry",
  "formation_energy_uncorrected_mev_per_atom": -781,
  "lattice": [[-5.4263, 5.4263, 5.4263], [5.4263, -5.4263, 5.4263], [5.4263, 5.4263, -5.4263]],
  "species": ["Cs", "Sn", "Sn", "Sn", "Sn", "Br", "Br", "Br", "Br", "Br", "Br", "Br", "Br", "Br", "Br", "Br", "Br"],
  "fractional_positions": [[0.0000, 0.0000, 0.0000], [0.0000, 0.0000, 0.5000], [0.0000, 0.5000, 0.0000], [0.5000, 0.0000, 0.0000], [0.5000, 0.5000, 0.5000], [0.1081, 0.8098, 0.2983], [0.1902, 0.2983, 0.4886], [0.1902, 0.7017, 0.8919], [0.2983, 0.1081, 0.8098], [0.2983, 0.4886, 0.1902], [0.4886, 0.1902, 0.2983], [0.5114, 0.8098, 0.7017], [0.7017, 0.5114, 0.8098], [0.7017, 0.8919, 0.1902], [0.8098, 0.2983, 0.1081], [0.8098, 0.7017, 0.5114], [0.8919, 0.1902, 0.7017]]
}



No. 2
{
  "formula": "LiMgTe",
  "functional": "PBE",
  "state": "optimized geometry",
  "e_above_lowest_polymorph_mev_per_atom": 59.9,
  "formation_energy_uncorrected_mev_per_atom": -422,
  "lattice": [[-1.9711, 1.9711, 4.5468], [1.9711, -1.9711, 4.5468], [1.9711, 1.9711, -4.5468]],
  "species": ["Li", "Mg", "Te"],
  "fractional_positions": [[0.0000, 0.0000, 0.0000], [0.3122, 0.3122, 0.0000], [0.6567, 0.6567, 0.0000]]
}



No. 3
{
  "formula": "Dy2Ga2Pb",
  "functional": "PBE",
  "state": "optimized geometry",
  "formation_energy_ev_per_fu": -2.75,
  "e_above_lowest_polymorph_mev_per_atom": 13.6,
  "lattice": [[2.0493, -7.2674, 0.0000], [2.0493, 7.2674, 0.0000], [0.0000, 0.0000, 4.0847]],
  "species": ["Dy", "Dy", "Ga", "Ga", "Pb"],
  "fractional_positions": [[0.1345, 0.8655, 0.0000], [0.8655, 0.1345, 0.0000], [0.2977, 0.7023, 0.5000], [0.7023, 0.2977, 0.5000], [0.5000, 0.5000, 0.5000]]
}



No. 4
{
  "formula": "LaY2PdPt",
  "functional": "PBE",
  "state": "optimized geometry",
  "formation_energy_ev_per_fu": 4.40,
  "lattice": [[5.5581, 0.0000, 0.0000], [0.0000, 5.5581, 0.0000], [0.0000, 0.0000, 4.8181]],
  "species": ["La", "Y", "Y", "Pd", "Pt"],
  "fractional_positions": [[0.0000, 0.0000, 0.0000], [0.0000, 0.5000, 0.0000], [0.5000, 0.0000, 0.0000], [0.0000, 0.0000, 0.5000], [0.5000, 0.5000, 0.5000]]
}



No. 5
{
  "formula": "LiCaSnS3",
  "functional": "PBE",
  "state": "optimized geometry",
  "formation_energy_uncorrected_mev_per_atom": -1091,
  "lattice": [[8.2825, 0.0000, 0.0000], [0.0000, 3.8689, 0.0000], [-1.9531, 0.0000, 8.1450]],
  "species": ["Li", "Li", "Ca", "Ca", "Sn", "Sn", "S", "S", "S", "S", "S", "S"],
  "fractional_positions": [[0.0878, 0.2500, 0.0910], [0.9122, 0.7500, 0.9090], [0.1935, 0.2500, 0.7380], [0.8065, 0.7500, 0.2620], [0.3291, 0.7500, 0.3373], [0.6709, 0.2500, 0.6627], [0.1072, 0.2500, 0.3801], [0.2097, 0.7500, 0.9991], [0.4322, 0.7500, 0.6699], [0.5678, 0.2500, 0.3301], [0.7903, 0.2500, 0.0009], [0.8928, 0.7500, 0.6199]]
}



No. 6
{
  "formula": "U2I2O",
  "functional": "PBE",
  "state": "optimized geometry",
  "formation_energy_uncorrected_mev_per_atom": -387,
  "lattice": [[3.7646, 0.0000, 0.0000], [0.0000, 3.7646, 0.0000], [0.0000, 0.0000, 14.4967]],
  "species": ["U", "U", "I", "I", "O"],
  "fractional_positions": [[0.0000, 0.0000, 0.1425], [0.0000, 0.0000, 0.8575], [0.0000, 0.0000, 0.3416], [0.0000, 0.0000, 0.6584], [0.0000, 0.0000, 0.0000]]
}



No. 7
{
  "formula": "ScSb2Rh",
  "functional": "PBE",
  "state": "optimized geometry",
  "formation_energy_uncorrected_mev_per_atom": -455,
  "lattice": [[-2.0492, 2.0492, 4.8507], [2.0492, -2.0492, 4.8507], [2.0492, 2.0492, -4.8507]],
  "species": ["Sc", "Sb", "Sb", "Rh"],
  "fractional_positions": [[0.0000, 0.0000, 0.0000], [0.5000, 0.5000, 0.0000], [0.7500, 0.2500, 0.5000], [0.2500, 0.7500, 0.5000]]
}



No. 8
{
  "formula": "Ga3Pd",
  "functional": "PBE",
  "state": "optimized geometry",
  "formation_energy_ev_per_fu": -1.24,
  "e_above_lowest_polymorph_mev_per_atom": 39.4,
  "lattice": [[10.6530, 0.0000, 0.0000], [0.0000, 10.6530, 0.0000], [0.0000, 0.0000, 4.8573]],
  "species": ["Ga", "Ga", "Ga", "Ga", "Ga", "Ga", "Ga", "Ga", "Ga", "Ga", "Ga", "Ga", "Ga", "Ga", "Ga", "Ga", "Ga", "Ga", "Ga", "Ga", "Ga", "Ga", "Ga", "Ga", "Pd", "Pd", "Pd", "Pd", "Pd", "Pd", "Pd", "Pd"],
  "fractional_positions": [[0.0173, 0.5615, 0.2382], [0.0615, 0.9827, 0.7382], [0.1186, 0.2297, 0.4757], [0.1457, 0.6767, 0.7472], [0.1767, 0.8543, 0.2472], [0.2297, 0.3814, 0.0243], [0.2703, 0.1186, 0.0243], [0.3233, 0.6457, 0.2472], [0.3543, 0.8233, 0.7472], [0.3814, 0.2703, 0.4757], [0.4385, 0.5173, 0.7382], [0.4827, 0.9385, 0.2382], [0.5173, 0.0615, 0.7618], [0.5615, 0.4827, 0.2618], [0.6186, 0.7297, 0.5243], [0.6457, 0.1767, 0.2528], [0.6767, 0.3543, 0.7528], [0.7297, 0.8814, 0.9757], [0.7703, 0.6186, 0.9757], [0.8233, 0.1457, 0.7528], [0.8543, 0.3233, 0.2528], [0.8814, 0.7703, 0.5243], [0.9385, 0.0173, 0.2618], [0.9827, 0.4385, 0.7618], [0.0302, 0.2119, 0.9783], [0.2119, 0.4698, 0.5217], [0.2881, 0.0302, 0.5217], [0.4698, 0.2881, 0.9783], [0.5302, 0.7119, 0.0217], [0.7119, 0.9698, 0.4783], [0.7881, 0.5302, 0.4783], [0.9698, 0.7881, 0.0217]]
}